A geometry-optimized Na2SnHgH structure. Source: Alexandria, functional PBE.

## Properties
The total energy comes out at -2.0958 eV/atom.

abc: 4.422 4.422 5.465
angles: 90.00 90.00 90.00
Space group P4/mmm (No. 123)
One atom of each set of equivalent atoms:
Na (0.000, 0.500, 0.000) x2
Sn (0.000, 0.000, 0.500) x1
Hg (0.500, 0.500, 0.500) x1
H (0.500, 0.500, 0.000) x1

***

A geometry-optimized Ba4HgRu structure. Source: Alexandria, functional PBE.

## Properties
The formation energy is 87.9 kJ/mol of atoms.

abc: 9.847 9.847 9.847
angles: 90.00 90.00 90.00
Space group F-43m (No. 216)
One atom of each set of equivalent atoms:
Ba (0.124, 0.124, 0.376) x16
Hg (0.000, 0.000, 0.000) x4
Ru (0.250, 0.250, 0.750) x4

***

A geometry-optimized Pr2TmIn2Rh5 structure. Source: Alexandria, functional PBE.

## Properties
The formation energy is -50.1 kJ/mol of atoms.

abc: 10.517 10.517 3.714
angles: 90.00 90.00 90.00
Space group P4/mbm (No. 127)
One atom of each set of equivalent atoms:
Pr (0.171, 0.329, 0.000) x4
Tm (0.000, 0.000, 0.000) x2
In (0.127, 0.627, 0.000) x4
Rh (0.000, 0.500, 0.500) x2
Rh (0.061, 0.799, 0.500) x8

***

A geometry-optimized RbSrZr2Ge structure. Source: Alexandria, functional PBE.

## Properties
The formation energy is 148.6 kJ/mol of atoms.

abc: 5.525 5.525 5.820
angles: 90.00 90.00 90.00
Space group P4/mmm (No. 123)
One atom of each set of equivalent atoms:
Rb (0.000, 0.000, 0.000) x1
Sr (0.500, 0.500, 0.500) x1
Zr (0.000, 0.500, 0.500) x2
Ge (0.500, 0.500, 0.000) x1

***

A geometry-optimized TaPtCl2 structure. Source: Alexandria, functional PBE.

## Properties
The formation energy without anion corrections comes out at -1.76 eV per formula unit. The energy above the most stable polymorph in this dataset comes out at 222 meV per atom.

abc: 3.068 3.068 8.328
angles: 90.00 90.00 90.00
Space group P4mm (No. 99)
One atom of each set of equivalent atoms:
Ta (0.000, 0.000, 0.000) x1
Pt (0.500, 0.500, 0.804) x1
Cl (0.000, 0.000, 0.582) x1
Cl (0.500, 0.500, 0.200) x1

***

A geometry-optimized Ac8PdRh2 structure. Source: Alexandria, functional PBE.

## Properties
The formation energy is -33.3 kJ/mol of atoms.

abc: 13.883 7.691 8.023
angles: 90.00 92.16 90.00
Space group C2/m (No. 12)
One atom of each set of equivalent atoms:
Ac (0.037, 0.249, 0.274) x8
Ac (0.211, 0.000, 0.602) x4
Ac (0.211, 0.500, 0.882) x4
Pd (0.000, 0.500, 0.000) x2
Rh (0.108, 0.500, 0.557) x4